# 1
# Pm4AgPb3 PBE-GGA optimized geometry
data_Pm4AgPb3
_space_group_name_H-M_alt 'P m m 2'
_space_group_IT_number 25
_cell_length_a 4.494
_cell_length_b 4.583
_cell_length_c 11.819
_cell_angle_alpha 90.00
_cell_angle_beta 90.00
_cell_angle_gamma 90.00
loop_
_space_group_symop_operation_xyz
'x,y,z'
'-x,-y,z'
'-x,y,z'
'x,-y,z'
loop_
_atom_site_label
_atom_site_fract_x
_atom_site_fract_y
_atom_site_fract_z
_atom_site_occupancy
Pm1 0.000 0.000 0.000 1
Pm2 0.000 0.500 0.262 1
Pm3 0.500 0.000 0.487 1
Pm4 0.500 0.500 0.763 1
Ag1 0.500 0.000 0.211 1
Pb1 0.000 0.000 0.728 1
Pb2 0.000 0.500 0.531 1
Pb3 0.500 0.500 0.041 1
# Spin magnetization in μB/f.u.: 0.000
# Formation enthalpy at 0 K in meV per atom: -458
# Calculated total energy in eV per atom: -4.5800
# Fermi-level density of states in states/eV/atom: 0.778

# 2
# Pm3Ag2Pb3 PBE-GGA optimized geometry
data_Pm3Ag2Pb3
_space_group_name_H-M_alt 'C m c m'
_space_group_IT_number 63
_space_group_name_Hall '-C 2c 2'
_cell_length_a 4.724
_cell_length_b 11.753
_cell_length_c 15.900
_cell_angle_alpha 90.00
_cell_angle_beta 90.00
_cell_angle_gamma 90.00
loop_
_atom_site_label
_atom_site_fract_x
_atom_site_fract_y
_atom_site_fract_z
_atom_site_occupancy
Pm1 0.000 0.076 0.112 1
Pm2 0.000 0.348 0.250 1
Ag1 0.000 0.219 0.606 1
Pb1 0.000 0.370 0.750 1
Pb2 0.000 0.380 0.042 1
# Spin magnetization in μB/f.u.: 0.749
# Formation enthalpy at 0 K in meV per atom: -405
# Calculated total energy in eV per atom: -4.2895
# Fermi-level density of states in states/eV/atom: 0.684

# 3
# Pm2AgPb2 PBE-GGA optimized geometry
data_Pm2AgPb2
_space_group_name_H-M_alt 'C m c 21'
_space_group_IT_number 36
_cell_length_a 5.034
_cell_length_b 17.157
_cell_length_c 6.642
_cell_angle_alpha 90.00
_cell_angle_beta 90.00
_cell_angle_gamma 90.00
loop_
_space_group_symop_operation_xyz
'x,y,z'
'-x,-y,z+1/2'
'-x,y,z'
'x,-y,z+1/2'
'x+1/2,y+1/2,z'
'-x+1/2,-y+1/2,z+1/2'
'-x+1/2,y+1/2,z'
'x+1/2,-y+1/2,z+1/2'
loop_
_atom_site_label
_atom_site_fract_x
_atom_site_fract_y
_atom_site_fract_z
_atom_site_occupancy
Pm1 0.000 0.000 0.000 1
Pm2 0.000 0.216 0.266 1
Ag1 0.000 0.415 0.243 1
Pb1 0.000 0.171 0.762 1
Pb2 0.000 0.410 0.745 1
# ΔE to the lowest computed polymorph in meV per atom: 47
# Spin magnetization in μB/f.u.: 0.185
# Formation enthalpy at 0 K in meV per atom: -389
# Calculated total energy in eV per atom: -4.3426
# Fermi-level density of states in states/eV/atom: 0.485

# 4
# Pm3AgPb2 PBE-GGA optimized geometry
data_Pm3AgPb2
_space_group_name_H-M_alt 'C 1 2/c 1'
_space_group_IT_number 15
_cell_length_a 16.686
_cell_length_b 6.536
_cell_length_c 6.518
_cell_angle_alpha 90.00
_cell_angle_beta 103.64
_cell_angle_gamma 90.00
loop_
_space_group_symop_operation_xyz
'x,y,z'
'-x,-y,-z'
'-x,y,-z+1/2'
'x,-y,z+1/2'
'x+1/2,y+1/2,z'
'-x+1/2,-y+1/2,-z'
'-x+1/2,y+1/2,-z+1/2'
'x+1/2,-y+1/2,z+1/2'
loop_
_atom_site_label
_atom_site_fract_x
_atom_site_fract_y
_atom_site_fract_z
_atom_site_occupancy
Pm1 0.000 0.157 0.250 1
Pm2 0.169 0.394 0.601 1
Ag1 0.000 0.367 0.750 1
Pb1 0.157 0.105 0.049 1
# Spin magnetization in μB/f.u.: 0.000
# Formation enthalpy at 0 K in meV per atom: -375
# Calculated total energy in eV per atom: -4.4617
# Fermi-level density of states in states/eV/atom: 0.618

# 5
# Pm5Ag4Pb PBE-GGA optimized geometry
data_Pm5Ag4Pb
_space_group_name_H-M_alt 'P 4/m m m'
_space_group_IT_number 123
_space_group_name_Hall '-P 4 2'
_cell_length_a 3.671
_cell_length_b 3.671
_cell_length_c 19.833
_cell_angle_alpha 90.00
_cell_angle_beta 90.00
_cell_angle_gamma 90.00
loop_
_atom_site_label
_atom_site_fract_x
_atom_site_fract_y
_atom_site_fract_z
_atom_site_occupancy
Pm1 0.000 0.000 0.000 1
Pm2 0.000 0.000 0.193 1
Pm3 0.000 0.000 0.387 1
Ag1 0.500 0.500 0.098 1
Ag2 0.500 0.500 0.288 1
Pb1 0.500 0.500 0.500 1
# Spin magnetization in μB/f.u.: 0.000
# Formation enthalpy at 0 K in meV per atom: -313
# Calculated total energy in eV per atom: -4.1992
# Fermi-level density of states in states/eV/atom: 0.912

# 6
# Pm4AgPb2 PBE-GGA optimized geometry
data_Pm4AgPb2
_space_group_name_H-M_alt 'I 4/m m m'
_space_group_IT_number 139
_space_group_name_Hall '-I 4 2'
_cell_length_a 5.803
_cell_length_b 5.803
_cell_length_c 13.550
_cell_angle_alpha 90.00
_cell_angle_beta 90.00
_cell_angle_gamma 90.00
loop_
_atom_site_label
_atom_site_fract_x
_atom_site_fract_y
_atom_site_fract_z
_atom_site_occupancy
Pm1 0.000 0.500 0.000 1
Pm2 0.000 0.500 0.250 1
Ag1 0.000 0.000 0.000 1
Pb1 0.000 0.000 0.368 1
# Spin magnetization in μB/f.u.: 0.009
# Formation enthalpy at 0 K in meV per atom: -127
# Calculated total energy in eV per atom: -4.3086
# Fermi-level density of states in states/eV/atom: 1.376

# 7
# Pm7Ag2Pb2 PBE-GGA optimized geometry
data_Pm7Ag2Pb2
_space_group_name_H-M_alt 'C m m m'
_space_group_IT_number 65
_space_group_name_Hall '-C 2 2'
_cell_length_a 8.589
_cell_length_b 11.602
_cell_length_c 7.257
_cell_angle_alpha 90.00
_cell_angle_beta 90.00
_cell_angle_gamma 90.00
loop_
_atom_site_label
_atom_site_fract_x
_atom_site_fract_y
_atom_site_fract_z
_atom_site_occupancy
Pm1 0.000 0.000 0.000 1
Pm2 0.000 0.500 0.246 1
Pm3 0.250 0.250 0.269 1
Ag1 0.000 0.282 0.000 1
Pb1 0.180 0.000 0.500 1
# Spin magnetization in μB/f.u.: 0.000
# Formation enthalpy at 0 K in meV per atom: -41
# Calculated total energy in eV per atom: -4.2568
# Fermi-level density of states in states/eV/atom: 1.316

# 8
# PmAg2Pb PBE-GGA optimized geometry
data_PmAg2Pb
_space_group_name_H-M_alt 'P 4/m m m'
_space_group_IT_number 123
_space_group_name_Hall '-P 4 2'
_cell_length_a 4.675
_cell_length_b 4.675
_cell_length_c 4.464
_cell_angle_alpha 90.00
_cell_angle_beta 90.00
_cell_angle_gamma 90.00
loop_
_atom_site_label
_atom_site_fract_x
_atom_site_fract_y
_atom_site_fract_z
_atom_site_occupancy
Pm1 0.000 0.000 0.000 1
Ag1 0.000 0.500 0.500 1
Pb1 0.500 0.500 0.000 1
# ΔE to the lowest computed polymorph in meV per atom: 69
# Spin magnetization in μB/f.u.: 0.000
# Formation enthalpy at 0 K in meV per atom: -210
# Calculated total energy in eV per atom: -3.7504
# Fermi-level density of states in states/eV/atom: 0.551

# 9
# Pm3AgPb3 PBE-GGA optimized geometry
data_Pm3AgPb3
_space_group_name_H-M_alt 'C 1 2/m 1'
_space_group_IT_number 12
_cell_length_a 11.859
_cell_length_b 4.712
_cell_length_c 15.419
_cell_angle_alpha 90.00
_cell_angle_beta 108.62
_cell_angle_gamma 90.00
loop_
_space_group_symop_operation_xyz
'x,y,z'
'-x,-y,-z'
'-x,y,-z'
'x,-y,z'
'x+1/2,y+1/2,z'
'-x+1/2,-y+1/2,-z'
'-x+1/2,y+1/2,-z'
'x+1/2,-y+1/2,z'
loop_
_atom_site_label
_atom_site_fract_x
_atom_site_fract_y
_atom_site_fract_z
_atom_site_occupancy
Pm1 0.031 0.000 0.383 1
Pm2 0.097 0.000 0.922 1
Pm3 0.231 0.000 0.228 1
Ag1 0.228 0.500 0.384 1
Pb1 0.009 0.500 0.231 1
Pb2 0.133 0.500 0.075 1
Pb3 0.140 0.500 0.548 1
# ΔE to the lowest computed polymorph in meV per atom: 0
# Spin magnetization in μB/f.u.: 0.000
# Formation enthalpy at 0 K in meV per atom: -474
# Calculated total energy in eV per atom: -4.5066
# Fermi-level density of states in states/eV/atom: 0.606

# 10
# Pm3Ag2Pb PBE-GGA optimized geometry
data_Pm3Ag2Pb
_space_group_name_H-M_alt 'P 4/m m m'
_space_group_IT_number 123
_space_group_name_Hall '-P 4 2'
_cell_length_a 3.646
_cell_length_b 3.646
_cell_length_c 12.282
_cell_angle_alpha 90.00
_cell_angle_beta 90.00
_cell_angle_gamma 90.00
loop_
_atom_site_label
_atom_site_fract_x
_atom_site_fract_y
_atom_site_fract_z
_atom_site_occupancy
Pm1 0.000 0.000 0.000 1
Pm2 0.000 0.000 0.315 1
Ag1 0.500 0.500 0.153 1
Pb1 0.500 0.500 0.500 1
# ΔE to the lowest computed polymorph in meV per atom: 0
# Spin magnetization in μB/f.u.: 0.000
# Formation enthalpy at 0 K in meV per atom: -340
# Calculated total energy in eV per atom: -4.2838
# Fermi-level density of states in states/eV/atom: 1.105

# 11
# PmAg2Pb PBE-GGA optimized geometry
data_PmAg2Pb
_space_group_name_H-M_alt 'F m -3 m'
_space_group_IT_number 225
_space_group_name_Hall '-F 4 2 3'
_cell_length_a 7.242
_cell_length_b 7.242
_cell_length_c 7.242
_cell_angle_alpha 90.00
_cell_angle_beta 90.00
_cell_angle_gamma 90.00
loop_
_atom_site_label
_atom_site_fract_x
_atom_site_fract_y
_atom_site_fract_z
_atom_site_occupancy
Pm1 0.000 0.000 0.000 1
Ag1 0.250 0.250 0.250 1
Pb1 0.000 0.000 0.500 1
# ΔE to the lowest computed polymorph in meV per atom: 0
# Spin magnetization in μB/f.u.: 0.000
# Formation enthalpy at 0 K in meV per atom: -279
# Calculated total energy in eV per atom: -3.8192
# Fermi-level density of states in states/eV/atom: 0.403

# 12
# Pm2Ag3Pb3 PBE-GGA optimized geometry
data_Pm2Ag3Pb3
_space_group_name_H-M_alt 'P m m m'
_space_group_IT_number 47
_cell_length_a 4.735
_cell_length_b 4.818
_cell_length_c 8.906
_cell_angle_alpha 90.00
_cell_angle_beta 90.00
_cell_angle_gamma 90.00
loop_
_space_group_symop_operation_xyz
'x,y,z'
'-x,-y,-z'
'-x,-y,z'
'x,y,-z'
'x,-y,-z'
'-x,y,z'
'-x,y,-z'
'x,-y,z'
loop_
_atom_site_label
_atom_site_fract_x
_atom_site_fract_y
_atom_site_fract_z
_atom_site_occupancy
Pm1 0.000 0.000 0.248 1
Ag1 0.000 0.500 0.000 1
Ag2 0.500 0.500 0.233 1
Pb1 0.000 0.500 0.500 1
Pb2 0.500 0.000 0.000 1
Pb3 0.500 0.000 0.500 1
# Spin magnetization in μB/f.u.: 0.000
# Formation enthalpy at 0 K in meV per atom: -281
# Calculated total energy in eV per atom: -3.9281
# Fermi-level density of states in states/eV/atom: 0.333

Please write out number 5 again, unchanged.
# Pm5Ag4Pb PBE-GGA optimized geometry
data_Pm5Ag4Pb
_space_group_name_H-M_alt 'P 4/m m m'
_space_group_IT_number 123
_space_group_name_Hall '-P 4 2'
_cell_length_a 3.671
_cell_length_b 3.671
_cell_length_c 19.833
_cell_angle_alpha 90.00
_cell_angle_beta 90.00
_cell_angle_gamma 90.00
loop_
_atom_site_label
_atom_site_fract_x
_atom_site_fract_y
_atom_site_fract_z
_atom_site_occupancy
Pm1 0.000 0.000 0.000 1
Pm2 0.000 0.000 0.193 1
Pm3 0.000 0.000 0.387 1
Ag1 0.500 0.500 0.098 1
Ag2 0.500 0.500 0.288 1
Pb1 0.500 0.500 0.500 1
# Spin magnetization in μB/f.u.: 0.000
# Formation enthalpy at 0 K in meV per atom: -313
# Calculated total energy in eV per atom: -4.1992
# Fermi-level density of states in states/eV/atom: 0.912

What did the tenth record say?
# Pm3Ag2Pb PBE-GGA optimized geometry
data_Pm3Ag2Pb
_space_group_name_H-M_alt 'P 4/m m m'
_space_group_IT_number 123
_space_group_name_Hall '-P 4 2'
_cell_length_a 3.646
_cell_length_b 3.646
_cell_length_c 12.282
_cell_angle_alpha 90.00
_cell_angle_beta 90.00
_cell_angle_gamma 90.00
loop_
_atom_site_label
_atom_site_fract_x
_atom_site_fract_y
_atom_site_fract_z
_atom_site_occupancy
Pm1 0.000 0.000 0.000 1
Pm2 0.000 0.000 0.315 1
Ag1 0.500 0.500 0.153 1
Pb1 0.500 0.500 0.500 1
# ΔE to the lowest computed polymorph in meV per atom: 0
# Spin magnetization in μB/f.u.: 0.000
# Formation enthalpy at 0 K in meV per atom: -340
# Calculated total energy in eV per atom: -4.2838
# Fermi-level density of states in states/eV/atom: 1.105